DFT (PBE-GGA) results for a relaxed Tl7GaHg12 crystal.

```
data_Tl7GaHg12
_chemical_formula_sum 'Tl21 Ga3 Hg36'
_cell_length_a 15.3673
_cell_length_b 15.3673
_cell_length_c 8.5948
_cell_angle_alpha 90.00
_cell_angle_beta 90.00
_cell_angle_gamma 120.00
_symmetry_space_group_name_H-M 'R -3'
_symmetry_Int_Tables_number 148
_symmetry_space_group_name_Hall '-R 3'
loop_
_atom_site_label
_atom_site_fract_x
_atom_site_fract_y
_atom_site_fract_z
_atom_site_occupancy
Tl1 0.0000 0.0000 0.0000 1
Tl2 0.0201 0.4177 0.0972 1
Ga1 0.0000 0.0000 0.5000 1
Hg1 0.0688 0.2448 0.0252 1
Hg2 0.0808 0.1722 0.6971 1
```

Values from the calculation:
- ΔE_f (eV/atom) = 0.029
- crystal system = trigonal



DFT (PBE-GGA) results for a relaxed NdHo3Tl3 crystal.

```
data_NdHo3Tl3
_chemical_formula_sum 'Nd2 Ho6 Tl6'
_cell_length_a 9.4700
_cell_length_b 9.4700
_cell_length_c 5.2313
_cell_angle_alpha 90.00
_cell_angle_beta 90.00
_cell_angle_gamma 120.00
_symmetry_space_group_name_H-M 'P 63/m'
_symmetry_Int_Tables_number 176
_symmetry_space_group_name_Hall '-P 6c'
loop_
_atom_site_label
_atom_site_fract_x
_atom_site_fract_y
_atom_site_fract_z
_atom_site_occupancy
Nd1 0.3333 0.6667 0.2500 1
Ho1 0.0002 0.2313 0.7500 1
Tl1 0.0710 0.6234 0.7500 1
```

Values from the calculation:
- ΔE_f (eV/atom) = -0.249
- crystal system = hexagonal
- energy above the most stable polymorph in this dataset (eV/atom) = 0.000